(1)
A plane-wave DFT calculation with PBE was carried out for a relaxed AlCu2Si crystal.

Unit cell a=2.8371 b=2.8371 c=8.0988 alpha=99.79 beta=99.79 gamma=56.86
Sites, in units of the cell vectors:
Al1 0.0000 0.0000 0.0000
Cu1 0.2461 0.2461 0.7449
Cu2 0.4086 0.4086 0.2548
Si1 0.8280 0.8280 0.5001

Output
magnetization: 0.00 μB/f.u.
Fermi-level density of states: 0.2265 states/eV per atom
SG: Cm (8)
formation energy without anion corrections: 0.00 eV per atom
DFT total energy: -0.3190 Ry/atom

=====

(2)
A plane-wave DFT calculation with PBE was carried out for a relaxed AlCu2Si3 crystal.

Unit cell a=5.6691 b=5.6691 c=5.9541 alpha=90.00 beta=90.00 gamma=120.00
Sites, in units of the cell vectors:
Al1 0.3333 0.6667 0.3300
Al2 0.6667 0.3333 0.6700
Cu1 0.0000 0.0000 0.0000
Cu2 0.0000 0.5000 0.0000
Cu3 0.5000 0.0000 0.0000
Cu4 0.5000 0.5000 0.0000
Si1 0.1641 0.3282 0.6738
Si2 0.1641 0.8359 0.6738
Si3 0.3282 0.1641 0.3262
Si4 0.6718 0.8359 0.6738
Si5 0.8359 0.1641 0.3262
Si6 0.8359 0.6718 0.3262

Output
magnetization: 0.00 μB/f.u.
Fermi-level density of states: 0.1190 states/eV per atom
SG: P-3m1 (164)
formation energy without anion corrections: 0.16 eV per atom
DFT total energy: -0.3340 Ry/atom
ΔE to the lowest computed polymorph: 0 meV/atom